Entry 1:
DFT (PBE) results for a geometry-optimized LiBiRu3 structure.

Properties
Symmetry: No. 221
Formation enthalpy at 0 K, meV per atom: 1794
DOS at the Fermi energy, states/eV per atom: 1.201

a = 5.0340 Å, b = 5.0340 Å, c = 5.0340 Å
α = 90.00°, β = 90.00°, γ = 90.00°
With the nearest neighbours (Å) after each atom.
Sites, in units of the cell vectors:
1 Li 0.0000 0.0000 0.0000  12 Ru 3.56
2 Bi 0.5000 0.5000 0.5000  6 Ru 2.52
3 Ru 0.0000 0.5000 0.5000  2 Bi 2.52
4 Ru 0.5000 0.0000 0.5000  2 Bi 2.52
5 Ru 0.5000 0.5000 0.0000  2 Bi 2.52

***

Entry 2:
DFT (PBE) results for a geometry-optimized LiScBiRu structure.

Properties
Symmetry: No. 216
Formation enthalpy at 0 K, meV per atom: -339
DOS at the Fermi energy, states/eV per atom: 1.155

a = 4.6574 Å, b = 4.6574 Å, c = 4.6574 Å
α = 60.00°, β = 60.00°, γ = 60.00°
With the nearest neighbours (Å) after each atom.
Sites, in units of the cell vectors:
1 Li 0.0000 0.0000 0.0000  4 Bi 2.85, 4 Sc 2.85
2 Sc 0.2500 0.2500 0.2500  4 Li 2.85, 4 Ru 2.85
3 Bi 0.7500 0.7500 0.7500  4 Li 2.85, 4 Ru 2.85
4 Ru 0.5000 0.5000 0.5000  4 Bi 2.85, 4 Sc 2.85

***

Which formula does entry 1 have? LiBiRu3

***

What is the formula in the second record? LiScBiRu

***

Which of these has the lowest DOS at the Fermi energy? LiScBiRu